(a)
Compound: LaDy2C
Source: the Alexandria database
Functional: PBE
Structure: optimized geometry

Calculated values
- Fermi-level density of states: 5.24 states/eV per cell
- SG: No. 164

Cell lengths 3.604, 3.604, 9.374 Å; angles 89.99, 90.00, 120.00 degrees
Site moments in Bohr magnetons follow the coordinates.
Fractional positions:
Dy 0.333 0.667 0.644  0.01
Dy 0.667 0.333 0.356  0.01
C 0.000 0.000 0.500  0.00
La 0.000 0.000 0.000  0.11

(b)
Compound: LaDy2C
Source: the Alexandria database
Functional: PBE
Structure: optimized geometry

Calculated values
- Fermi-level density of states: 4.93 states/eV per cell
- SG: No. 166

Cell lengths 3.531, 3.531, 10.205 Å; angles 80.04, 80.04, 60.00 degrees
Site moments in Bohr magnetons follow the coordinates.
Fractional positions:
Dy 0.879 0.879 0.364  0.02
Dy 0.121 0.121 0.636  0.02
C 0.500 0.500 0.500  0.00
La 0.000 0.000 0.000  0.07

Q: Which of them is the least stable? A: (b).

(a)
Compound: DyCN
Source: the Alexandria database
Functional: PBE
Structure: optimized geometry

Calculated values
- Fermi-level density of states: 1.59 states/eV per cell
- SG: No. 107

Cell lengths 3.592, 3.592, 3.954 Å; angles 117.01, 117.01, 90.00 degrees
Fractional positions:
C 0.678 0.678 0.357
Dy 0.282 0.282 0.564
N 0.890 0.890 0.779

(b)
Compound: DyCN
Source: the Alexandria database
Functional: PBE
Structure: optimized geometry

Calculated values
- Fermi-level density of states: 2.12 states/eV per cell
- SG: No. 62

Cell lengths 3.408, 6.674, 5.985 Å; angles 90.00, 90.00, 90.00 degrees
Fractional positions:
Dy 0.750 0.809 0.343
Dy 0.250 0.691 0.843
Dy 0.750 0.309 0.157
Dy 0.250 0.191 0.657
C 0.250 0.529 0.449
C 0.250 0.029 0.051
C 0.750 0.971 0.949
C 0.750 0.471 0.551
N 0.750 0.934 0.716
N 0.250 0.566 0.216
N 0.250 0.066 0.284
N 0.750 0.434 0.784

Q: Which of them is the least stable? A: (a).

(a)
Compound: DyNiC
Source: the Alexandria database
Functional: PBE
Structure: optimized geometry

Calculated values
- Fermi-level density of states: 1.69 states/eV per cell
- SG: No. 187

Cell lengths 3.788, 3.520, 3.520 Å; angles 120.00, 90.00, 90.00 degrees
Fractional positions:
Dy 0.667 0.667 0.333
C 0.166 0.000 0.000
Ni 0.167 0.333 0.667

(b)
Compound: DyNiC
Source: the Alexandria database
Functional: PBE
Structure: optimized geometry

Calculated values
- Fermi-level density of states: 2.82 states/eV per cell
- SG: No. 65

Cell lengths 3.427, 4.506, 6.317 Å; angles 110.89, 90.00, 90.00 degrees
Fractional positions:
C 0.861 0.660 0.247
C 0.861 0.353 0.247
Dy 0.361 0.657 0.548
Dy 0.361 0.356 0.946
Ni 0.861 0.905 0.044
Ni 0.861 0.108 0.451

Q: Which of them is the least stable? A: (a).

(a)
Compound: DyCO4
Source: the Alexandria database
Functional: PBE
Structure: optimized geometry

Calculated values
- Fermi-level density of states: 1.00 states/eV per cell
- SG: No. 11

Cell lengths 4.516, 6.358, 6.736 Å; angles 90.00, 90.00, 96.46 degrees
Site moments in Bohr magnetons follow the coordinates.
Fractional positions:
C 0.942 0.792 0.250  0.00
C 0.058 0.208 0.750  0.00
O 0.113 0.018 0.750  0.01
O 0.887 0.982 0.250  0.01
O 0.538 0.638 0.750  0.68
O 0.971 0.683 0.088  0.04
O 0.462 0.362 0.250  0.68
O 0.029 0.317 0.588  0.04
O 0.971 0.683 0.412  0.04
O 0.029 0.317 0.912  0.04
Dy 0.962 0.335 0.250  -0.03
Dy 0.038 0.665 0.750  -0.03

(b)
Compound: DyCO4
Source: the Alexandria database
Functional: PBE
Structure: optimized geometry

Calculated values
- Fermi-level density of states: 0.29 states/eV per cell
- SG: No. 11

Cell lengths 3.859, 5.562, 9.375 Å; angles 90.00, 91.05, 90.00 degrees
Site moments in Bohr magnetons follow the coordinates.
Fractional positions:
O 0.255 0.046 0.609  0.41
O 0.822 0.250 0.998  0.00
O 0.209 0.250 0.194  0.00
O 0.255 0.454 0.609  0.41
O 0.745 0.954 0.391  0.41
O 0.791 0.750 0.806  0.00
O 0.178 0.750 0.002  0.00
O 0.745 0.546 0.391  0.41
C 0.986 0.750 0.903  0.00
C 0.014 0.250 0.097  0.00
Dy 0.248 0.750 0.446  0.05
Dy 0.752 0.250 0.554  0.05

Q: Which of them is the least stable? A: (b).

(a)
Compound: DyCO4
Source: the Alexandria database
Functional: PBE
Structure: optimized geometry

Calculated values
- Fermi-level density of states: 19.70 states/eV per cell
- SG: No. 174

Cell lengths 9.691, 12.061, 12.061 Å; angles 120.00, 90.00, 90.00 degrees
Site moments in Bohr magnetons follow the coordinates.
Fractional positions:
O 0.500 0.814 0.904  0.06
O 0.694 0.674 0.001  0.66
O 0.500 0.362 0.516  0.06
O 0.383 0.824 0.750  0.07
O 0.000 0.416 0.573  0.06
O 0.255 0.000 0.000  0.66
O 0.616 0.258 0.822  0.07
O 0.384 0.258 0.822  0.07
O 0.306 0.327 0.326  0.66
O 0.616 0.513 0.095  0.05
O 0.000 0.157 0.584  0.06
O 0.883 0.254 0.419  0.06
O 0.804 0.660 0.661  0.65
O 0.883 0.847 0.080  0.06
O 0.750 0.667 0.333  0.65
O 0.384 0.905 0.418  0.05
O 0.755 0.333 0.667  0.67
O 0.000 0.031 0.176  0.04
O 0.000 0.758 0.241  0.06
O 0.616 0.564 0.742  0.07
O 0.882 0.910 0.504  0.07
O 0.384 0.513 0.095  0.05
O 0.883 0.920 0.767  0.06
O 0.384 0.178 0.436  0.07
O 0.000 0.427 0.843  0.06
O 0.000 0.759 0.517  0.06
O 0.616 0.582 0.487  0.05
O 0.117 0.254 0.419  0.06
O 0.118 0.910 0.504  0.07
O 0.883 0.233 0.153  0.06
O 0.617 0.926 0.176  0.07
O 0.694 0.327 0.326  0.66
O 0.000 0.483 0.242  0.06
O 0.118 0.594 0.090  0.07
O 0.306 0.999 0.673  0.66
O 0.196 0.660 0.661  0.65
O 0.500 0.493 0.302  0.05
O 0.616 0.905 0.418  0.05
O 0.745 0.000 0.000  0.66
O 0.384 0.582 0.487  0.05
O 0.117 0.920 0.767  0.06
O 0.617 0.824 0.750  0.07
O 0.804 0.001 0.340  0.65
O 0.383 0.926 0.176  0.07
O 0.616 0.178 0.436  0.07
O 0.245 0.333 0.667  0.67
O 0.882 0.496 0.406  0.07
O 0.196 0.339 0.999  0.65
O 0.500 0.096 0.910  0.06
O 0.694 0.999 0.673  0.66
O 0.500 0.809 0.507  0.05
O 0.883 0.581 0.834  0.06
O 0.117 0.847 0.080  0.06
O 0.000 0.145 0.969  0.04
O 0.118 0.496 0.406  0.07
O 0.117 0.581 0.834  0.06
O 0.883 0.166 0.746  0.06
O 0.882 0.594 0.090  0.07
O 0.117 0.166 0.746  0.06
O 0.196 0.001 0.340  0.65
O 0.306 0.674 0.001  0.66
O 0.617 0.250 0.074  0.07
O 0.500 0.484 0.846  0.06
O 0.500 0.154 0.638  0.06
O 0.500 0.090 0.186  0.06
O 0.250 0.667 0.333  0.65
O 0.804 0.339 0.999  0.65
O 0.383 0.250 0.074  0.07
O 0.117 0.233 0.153  0.06
O 0.500 0.698 0.191  0.05
O 0.384 0.564 0.742  0.07
O 0.000 0.824 0.855  0.04
C 0.500 0.553 0.425  0.00
C 0.500 0.224 0.762  0.00
C 0.000 0.493 0.354  0.00
C 0.000 0.164 0.695  0.00
C 0.500 0.822 0.800  0.00
C 0.000 0.204 0.093  0.00
C 0.000 0.862 0.507  0.00
C 0.500 0.538 0.776  0.00
C 0.500 0.575 0.127  0.00
C 0.500 0.200 0.021  0.00
C 0.500 0.979 0.178  0.00
C 0.000 0.305 0.470  0.00
C 0.000 0.646 0.138  0.00
C 0.000 0.530 0.836  0.00
C 0.500 0.238 0.462  0.00
C 0.000 0.888 0.796  0.00
C 0.000 0.907 0.112  0.00
C 0.500 0.873 0.447  0.00
Dy 0.743 0.784 0.220  -0.04
Dy 0.745 0.453 0.898  -0.04
Dy 0.743 0.780 0.563  -0.04
Dy 0.745 0.445 0.547  -0.04
Dy 0.255 0.102 0.555  -0.04
Dy 0.240 0.769 0.882  -0.04
Dy 0.760 0.769 0.882  -0.04
Dy 0.257 0.437 0.216  -0.04
Dy 0.745 0.102 0.555  -0.04
Dy 0.240 0.118 0.888  -0.04
Dy 0.743 0.437 0.216  -0.04
Dy 0.760 0.112 0.231  -0.04
Dy 0.760 0.118 0.888  -0.04
Dy 0.257 0.780 0.563  -0.04
Dy 0.257 0.784 0.220  -0.04
Dy 0.255 0.453 0.898  -0.04
Dy 0.255 0.445 0.547  -0.04
Dy 0.240 0.112 0.231  -0.04

(b)
Compound: DyCO4
Source: the Alexandria database
Functional: PBE
Structure: optimized geometry

Calculated values
- SG: No. 19

Cell lengths 4.811, 7.236, 8.963 Å; angles 90.00, 90.00, 90.00 degrees
Site moments in Bohr magnetons follow the coordinates.
Fractional positions:
Dy 0.467 0.139 0.832  -0.01
Dy 0.967 0.361 0.168  -0.01
Dy 0.033 0.861 0.332  -0.01
Dy 0.533 0.639 0.668  -0.01
O 0.837 0.879 0.576  0.02
O 0.218 0.066 0.131  0.13
O 0.027 0.169 0.356  0.66
O 0.954 0.068 0.769  0.01
O 0.337 0.621 0.424  0.02
O 0.046 0.568 0.731  0.01
O 0.527 0.331 0.644  0.66
O 0.282 0.934 0.631  0.13
O 0.718 0.434 0.869  0.13
O 0.663 0.121 0.076  0.02
O 0.782 0.566 0.369  0.13
O 0.454 0.432 0.231  0.01
O 0.546 0.932 0.269  0.01
O 0.973 0.669 0.144  0.66
O 0.473 0.831 0.856  0.66
O 0.163 0.379 0.924  0.02
C 0.517 0.539 0.339  0.00
C 0.983 0.461 0.839  0.00
C 0.483 0.039 0.161  0.00
C 0.017 0.961 0.661  0.00

Q: Which of them is the least stable? A: (b).

(a)
Compound: Dy4Pb2C
Source: the Alexandria database
Functional: PBE
Structure: optimized geometry

Calculated values
- Fermi-level density of states: 2.85 states/eV per cell
- SG: No. 11

Cell lengths 6.545, 6.787, 9.400 Å; angles 90.00, 111.36, 90.00 degrees
Fractional positions:
Dy 0.516 0.502 0.271
Dy 0.881 0.250 0.057
Dy 0.927 0.250 0.654
Dy 0.119 0.750 0.943
Dy 0.073 0.750 0.346
Dy 0.516 0.998 0.271
Dy 0.484 0.498 0.729
Dy 0.484 0.002 0.729
C 0.279 0.750 0.200
C 0.721 0.250 0.800
Pb 0.812 0.750 0.582
Pb 0.312 0.250 0.968
Pb 0.188 0.250 0.418
Pb 0.688 0.750 0.032

(b)
Compound: Dy4Pb2C
Source: the Alexandria database
Functional: PBE
Structure: optimized geometry

Calculated values
- Fermi-level density of states: 0.72 states/eV per cell
- SG: No. 139

Cell lengths 4.830, 4.830, 8.747 Å; angles 106.03, 106.03, 90.00 degrees
Fractional positions:
C 0.000 0.000 0.000
Dy 0.843 0.843 0.686
Dy 0.157 0.157 0.314
Dy 0.500 0.000 0.000
Dy 0.000 0.500 0.000
Pb 0.358 0.358 0.715
Pb 0.642 0.642 0.285

Q: Which of them is the least stable? A: (a).